No. 1
The following is a DFT calculation (PBE) of crystalline ZnCdAs2 at its relaxed geometry.

SG: P2/m
Formation energy in eV per atom: 0.051
Total magnetic moment in μB per atom: 0.00
Energy above the lowest structure with this stoichiometry in meV per atom: 0

Cell lengths 4.361, 3.788, 5.534 Å; angles 90.00, 106.97, 90.00 degrees
Atoms (fractional coordinates):
Zn  0.000  0.000  0.000
Cd  0.500  0.000  0.500
As  0.274  0.500  0.808
As  0.726  0.500  0.192

=====

No. 2
The following is a DFT calculation (PBE) of crystalline Zn2CdAs2 at its relaxed geometry.

SG: I4/mmm
Formation energy in eV per atom: 0.146
Total magnetic moment in μB per atom: 0.00

Cell lengths 6.505, 6.505, 6.505 Å; angles 142.41, 142.41, 54.22 degrees
Atoms (fractional coordinates):
Zn  0.106  0.106  0.000
Zn  0.894  0.894  0.000
Cd  0.500  0.500  0.000
As  0.250  0.750  0.500
As  0.750  0.250  0.500

=====

No. 3
The following is a DFT calculation (PBE) of crystalline ZnCdAs2 at its relaxed geometry.

SG: Imm2
Formation energy in eV per atom: 0.144
Total magnetic moment in μB per atom: 0.00
Energy above the lowest structure with this stoichiometry in meV per atom: 93

Cell lengths 6.329, 6.329, 6.329 Å; angles 147.01, 142.26, 50.98 degrees
Atoms (fractional coordinates):
Zn  0.000  0.000  0.000
Cd  0.680  0.180  0.500
As  0.278  0.778  0.500
As  0.447  0.447  0.000

=====

No. 4
The following is a DFT calculation (PBE) of crystalline ZnCdAs2 at its relaxed geometry.

SG: Cmm2
Formation energy in eV per atom: 0.269
Total magnetic moment in μB per atom: 0.00
Energy above the lowest structure with this stoichiometry in meV per atom: 219

Cell lengths 2.881, 2.881, 9.634 Å; angles 90.00, 90.00, 94.88 degrees
Atoms (fractional coordinates):
Zn  0.000  0.000  0.000
Cd  0.500  0.500  0.233
As  0.000  0.000  0.482
As  0.500  0.500  0.793

=====

No. 5
The following is a DFT calculation (PBE) of crystalline ZnCdAs2 at its relaxed geometry.

SG: Cm
Formation energy in eV per atom: 0.053
Total magnetic moment in μB per atom: 0.00
Energy above the lowest structure with this stoichiometry in meV per atom: 2

Cell lengths 4.462, 4.462, 6.165 Å; angles 109.81, 109.81, 49.92 degrees
Atoms (fractional coordinates):
Zn  0.000  0.000  0.000
Cd  0.820  0.820  0.288
As  0.238  0.238  0.831
As  0.599  0.599  0.512

=====

No. 6
The following is a DFT calculation (PBE) of crystalline Zn4CdAs at its relaxed geometry.

SG: F-43m
Formation energy in eV per atom: 0.156
Total magnetic moment in μB per atom: 0.00

Cell lengths 5.287, 5.287, 5.287 Å; angles 60.00, 60.00, 60.00 degrees
Atoms (fractional coordinates):
Zn  0.124  0.124  0.124
Zn  0.124  0.124  0.627
Zn  0.124  0.627  0.124
Zn  0.627  0.124  0.124
Cd  0.500  0.500  0.500
As  0.750  0.750  0.750

=====

> Look up the total magnetic moment of the first one.

0.00 μB per atom

=====

> Which formula does entry 1 have?

ZnCdAs2

=====

Repeat the sixth record exactly.
The following is a DFT calculation (PBE) of crystalline Zn4CdAs at its relaxed geometry.

SG: F-43m
Formation energy in eV per atom: 0.156
Total magnetic moment in μB per atom: 0.00

Cell lengths 5.287, 5.287, 5.287 Å; angles 60.00, 60.00, 60.00 degrees
Atoms (fractional coordinates):
Zn  0.124  0.124  0.124
Zn  0.124  0.124  0.627
Zn  0.124  0.627  0.124
Zn  0.627  0.124  0.124
Cd  0.500  0.500  0.500
As  0.750  0.750  0.750

=====

> Number 6 is which compound?

Zn4CdAs